# Sc3GaN

Sc3GaN after structural relaxation (PBE, Alexandria via LeMat-Bulk).

POSCAR file:
```
Sc3GaN
1.0
-19.647 10.177 6.355
-2.287 -1.246 -5.075
6.402 -6.076 -1.393
Ga Sc N
4 12 4
direct
0.509 0.335 0.922
0.991 0.835 0.578
0.009 0.165 0.422
0.491 0.665 0.078
0.596 0.122 0.429
0.209 0.426 0.565
0.404 0.878 0.571
0.096 0.378 0.929
0.144 0.925 0.240
0.644 0.575 0.740
0.791 0.574 0.435
0.356 0.425 0.260
0.904 0.622 0.071
0.856 0.075 0.760
0.709 0.074 0.065
0.291 0.926 0.935
0.023 0.747 0.143
0.977 0.253 0.857
0.477 0.247 0.357
0.523 0.753 0.643
```

Output
Energy in eV per cell: -140.22
Crystal system: monoclinic
Space-group type: No. 14
V in Å³/f.u.: 87


# LiPuHgCl6

LiPuHgCl6 after structural relaxation (PBE, Alexandria via LeMat-Bulk).

POSCAR file:
```
LiPuHgCl6
1.0
-1.868 4.085 5.128
2.183 -6.326 1.303
11.236 4.055 0.862
Cl Hg Li Pu
12 2 2 2
direct
0.668 0.999 0.376
0.001 0.669 0.376
0.001 0.332 0.124
0.999 0.668 0.876
0.332 0.331 0.876
0.331 0.332 0.376
0.999 0.331 0.624
0.668 0.669 0.124
0.669 0.001 0.876
0.332 0.001 0.624
0.669 0.668 0.624
0.331 0.999 0.124
0.667 0.333 0.750
0.333 0.667 0.250
0.000 0.000 0.500
0.000 0.000 0.000
0.333 0.667 0.750
0.667 0.333 0.250
```

Output
Energy in eV per cell: -80.13
Crystal system: trigonal
Space-group type: No. 163
V in Å³/f.u.: 241